Entry 1:
Here is a geometry-optimized YHoMgCu structure from Alexandria. Energies are from PBE-GGA.

Lattice parameters (Å, degrees): 3.4921 3.4921 7.9690 90.00 90.00 90.00
With the nearest neighbours (Å) after each atom.
Atoms (fractional coordinates):
Y: 0.0000 0.0000 0.0000  4 Cu 3.02, 1 Ho 3.37
Ho: 0.0000 0.0000 0.4230  4 Cu 2.96
Mg: 0.5000 0.5000 0.7106  4 Ho 3.37, 4 Y 3.38, 4 Mg 3.49
Cu: 0.5000 0.5000 0.2172  4 Ho 2.96, 4 Y 3.02

ΔE_f = -15 kJ per mole of atoms
polymorph energy (0 for the lowest one) = 0 meV/atom
calculated total energy = -17.349 eV per cell
theoretical density = 5838 kg/m³

=====

Entry 2:
Here is a geometry-optimized YHoMgCu structure from Alexandria. Energies are from PBE-GGA.

Lattice parameters (Å, degrees): 5.1223 5.1223 5.1223 60.00 60.00 60.00
With the nearest neighbours (Å) after each atom.
Atoms (fractional coordinates):
Y: 0.0000 0.0000 0.0000  4 Mg 3.14, 4 Cu 3.14
Ho: 0.5000 0.5000 0.5000  4 Cu 3.14, 4 Mg 3.14
Mg: 0.2500 0.2500 0.2500  4 Ho 3.14, 4 Y 3.14
Cu: 0.7500 0.7500 0.7500  4 Ho 3.14, 4 Y 3.14

ΔE_f = -7 kJ per mole of atoms
polymorph energy (0 for the lowest one) = 84 meV/atom
calculated total energy = -17.011 eV per cell
theoretical density = 5970 kg/m³

=====

Entry 3:
Here is a geometry-optimized Ho4MgZn2Cu structure from Alexandria. Energies are from PBE-GGA.

Lattice parameters (Å, degrees): 8.7317 8.7317 8.7317 33.73 33.73 33.73
With the nearest neighbours (Å) after each atom.
Atoms (fractional coordinates):
Ho: 0.1174 0.1174 0.1174  1 Cu 2.90, 4 Zn 2.99-3.06, 3 Mg 3.17
Ho: 0.3692 0.3692 0.3692  3 Cu 3.06, 4 Zn 3.15-3.24, 1 Mg 3.23, 3 Ho 3.42
Ho: 0.6308 0.6308 0.6308  3 Cu 3.06, 4 Zn 3.15-3.24, 1 Mg 3.23, 3 Ho 3.42
Ho: 0.8826 0.8826 0.8826  1 Cu 2.90, 4 Zn 2.99-3.06, 3 Mg 3.17
Mg: 0.5000 0.5000 0.5000  8 Ho 3.17-3.23, 6 Zn 3.46
Zn: 0.2414 0.2414 0.2414  8 Ho 2.99-3.24
Zn: 0.7586 0.7586 0.7586  8 Ho 2.99-3.24
Cu: 0.0000 0.0000 0.0000  8 Ho 2.90-3.06

ΔE_f = -24 kJ per mole of atoms
calculated total energy = -28.540 eV per cell
theoretical density = 7975 kg/m³

=====

Entry 4:
Here is a geometry-optimized Ho2MgZn12Cu3 structure from Alexandria. Energies are from PBE-GGA.

Lattice parameters (Å, degrees): 8.1024 8.1024 8.1024 61.53 61.53 61.53
With the nearest neighbours (Å) after each atom.
Atoms (fractional coordinates):
Ho: 0.0892 0.0892 0.0892  9 Zn 2.97-3.17
Ho: 0.9108 0.9108 0.9108  9 Zn 2.97-3.17
Mg: 0.5000 0.5000 0.5000  6 Zn 3.23
Zn: 0.0213 0.6680 0.6680  1 Cu 2.44
Zn: 0.1663 0.1663 0.6405  2 Cu 2.34, 2 Zn 2.54
Zn: 0.1663 0.6405 0.1663  2 Cu 2.34, 2 Zn 2.54
Zn: 0.3320 0.3320 0.9787  1 Cu 2.44
Zn: 0.3320 0.9787 0.3320  1 Cu 2.44
Zn: 0.3595 0.8337 0.8337  2 Cu 2.34, 2 Zn 2.54
Zn: 0.6405 0.1663 0.1663  2 Cu 2.34, 2 Zn 2.54
Zn: 0.6680 0.0213 0.6680  1 Cu 2.44
Zn: 0.6680 0.6680 0.0213  1 Cu 2.44
Zn: 0.8337 0.3595 0.8337  2 Cu 2.34, 2 Zn 2.54
Zn: 0.8337 0.8337 0.3595  2 Cu 2.34, 2 Zn 2.54
Zn: 0.9787 0.3320 0.3320  1 Cu 2.44
Cu: 0.0000 0.5000 0.5000  6 Zn 2.34-2.44
Cu: 0.5000 0.0000 0.5000  6 Zn 2.34-2.44
Cu: 0.5000 0.5000 0.0000  6 Zn 2.34-2.44

ΔE_f = 23 kJ per mole of atoms
calculated total energy = -34.007 eV per cell
theoretical density = 5676 kg/m³

=====

Entry 5:
Here is a geometry-optimized Ho2MgZn3Cu12 structure from Alexandria. Energies are from PBE-GGA.

Lattice parameters (Å, degrees): 6.5207 6.5207 6.5207 84.52 84.52 84.52
With the nearest neighbours (Å) after each atom.
Atoms (fractional coordinates):
Ho: 0.2043 0.2043 0.2043  9 Cu 2.77-2.88, 3 Zn 2.99
Ho: 0.7957 0.7957 0.7957  9 Cu 2.77-2.88, 3 Zn 2.99
Mg: 0.5000 0.5000 0.5000  6 Cu 2.50
Zn: 0.0000 0.5000 0.5000  6 Cu 2.53-2.78
Zn: 0.5000 0.0000 0.5000  6 Cu 2.53-2.78
Zn: 0.5000 0.5000 0.0000  6 Cu 2.53-2.78
Cu: 0.0858 0.0858 0.6337  4 Cu 2.40-2.58
Cu: 0.0858 0.6337 0.0858  4 Cu 2.40-2.58
Cu: 0.2150 0.7005 0.7005  5 Cu 2.40-2.64, 1 Mg 2.50, 1 Zn 2.53
Cu: 0.2995 0.2995 0.7850  5 Cu 2.40-2.64, 1 Mg 2.50, 1 Zn 2.53
Cu: 0.2995 0.7850 0.2995  5 Cu 2.40-2.64, 1 Mg 2.50, 1 Zn 2.53
Cu: 0.3663 0.9142 0.9142  4 Cu 2.40-2.58
Cu: 0.6337 0.0858 0.0858  4 Cu 2.40-2.58
Cu: 0.7005 0.2150 0.7005  5 Cu 2.40-2.64, 1 Mg 2.50, 1 Zn 2.53
Cu: 0.7005 0.7005 0.2150  5 Cu 2.40-2.64, 1 Mg 2.50, 1 Zn 2.53
Cu: 0.7850 0.2995 0.2995  5 Cu 2.40-2.64, 1 Mg 2.50, 1 Zn 2.53
Cu: 0.9142 0.3663 0.9142  4 Cu 2.40-2.58
Cu: 0.9142 0.9142 0.3663  4 Cu 2.40-2.58

ΔE_f = 3 kJ per mole of atoms
calculated total energy = -63.182 eV per cell
theoretical density = 7966 kg/m³

=====

Entry 6:
Here is a geometry-optimized HoMnCu2 structure from Alexandria. Energies are from PBE-GGA.

Lattice parameters (Å, degrees): 5.0902 5.0902 5.0902 49.77 49.77 49.77
With the nearest neighbours (Å) after each atom.
Atoms (fractional coordinates):
Ho: 0.0000 0.0000 0.0000  8 Cu 2.77-2.99
Mn: 0.5000 0.5000 0.5000  6 Cu 2.53
Cu: 0.2079 0.2079 0.2079  3 Mn 2.53, 3 Cu 2.71, 1 Ho 2.77
Cu: 0.7921 0.7921 0.7921  3 Mn 2.53, 3 Cu 2.71, 1 Ho 2.77

ΔE_f = -5 kJ per mole of atoms
calculated total energy = -22.132 eV per cell
theoretical density = 8149 kg/m³

=====

Entry 7:
Here is a geometry-optimized Ho2MnCu structure from Alexandria. Energies are from PBE-GGA.

Lattice parameters (Å, degrees): 3.4361 3.4361 7.1111 90.00 90.00 90.00
With the nearest neighbours (Å) after each atom.
Atoms (fractional coordinates):
Ho: 0.0000 0.0000 0.2474  4 Cu 3.00, 4 Mn 3.02
Ho: 0.0000 0.0000 0.7526  4 Cu 3.00, 4 Mn 3.02
Mn: 0.5000 0.5000 0.5000  8 Ho 3.02
Cu: 0.5000 0.5000 0.0000  8 Ho 3.00

ΔE_f = -4 kJ per mole of atoms
calculated total energy = -22.584 eV per cell
theoretical density = 8867 kg/m³

=====

Entry 8:
Here is a geometry-optimized Ho2MnCu12Ni3 structure from Alexandria. Energies are from PBE-GGA.

Lattice parameters (Å, degrees): 11.2213 11.2213 11.2213 27.38 27.38 27.38
With the nearest neighbours (Å) after each atom.
Atoms (fractional coordinates):
Ho: 0.1428 0.1428 0.1428  12 Cu 2.89-3.23, 3 Mn 3.16
Ho: 0.8572 0.8572 0.8572  12 Cu 2.89-3.23, 3 Mn 3.16
Mn: 0.5000 0.5000 0.5000  6 Cu 2.44
Cu: 0.0977 0.0977 0.6460  2 Ni 2.35, 4 Cu 2.40-2.41
Cu: 0.0977 0.6460 0.0977  2 Ni 2.35, 4 Cu 2.40-2.41
Cu: 0.1087 0.6076 0.6076  6 Cu 2.41-2.66, 1 Mn 2.44
Cu: 0.3540 0.9023 0.9023  2 Ni 2.35, 4 Cu 2.40-2.41
Cu: 0.3924 0.3924 0.8913  6 Cu 2.41-2.66, 1 Mn 2.44
Cu: 0.3924 0.8913 0.3924  6 Cu 2.41-2.66, 1 Mn 2.44
Cu: 0.6076 0.1087 0.6076  6 Cu 2.41-2.66, 1 Mn 2.44
Cu: 0.6076 0.6076 0.1087  6 Cu 2.41-2.66, 1 Mn 2.44
Cu: 0.6460 0.0977 0.0977  2 Ni 2.35, 4 Cu 2.40-2.41
Cu: 0.8913 0.3924 0.3924  6 Cu 2.41-2.66, 1 Mn 2.44
Cu: 0.9023 0.3540 0.9023  2 Ni 2.35, 4 Cu 2.40-2.41
Cu: 0.9023 0.9023 0.3540  2 Ni 2.35, 4 Cu 2.40-2.41
Ni: 0.0000 0.5000 0.5000  4 Cu 2.35
Ni: 0.5000 0.0000 0.5000  4 Cu 2.35
Ni: 0.5000 0.5000 0.0000  4 Cu 2.35

ΔE_f = 23 kJ per mole of atoms
calculated total energy = -80.597 eV per cell
theoretical density = 8335 kg/m³

=====

Entry 9:
Here is a geometry-optimized HoMnCuPd structure from Alexandria. Energies are from PBE-GGA.

Lattice parameters (Å, degrees): 4.6507 4.6507 4.6507 60.00 60.00 60.00
With the nearest neighbours (Å) after each atom.
Atoms (fractional coordinates):
Ho: 0.0000 0.0000 0.0000  4 Pd 2.85, 4 Cu 2.85
Mn: 0.5000 0.5000 0.5000  4 Pd 2.85, 4 Cu 2.85
Cu: 0.2500 0.2500 0.2500  4 Mn 2.85, 4 Ho 2.85
Pd: 0.7500 0.7500 0.7500  4 Mn 2.85, 4 Ho 2.85

ΔE_f = -26 kJ per mole of atoms
calculated total energy = -24.098 eV per cell
theoretical density = 9101 kg/m³

=====

Entry 10:
Here is a geometry-optimized PmHoMnCu structure from Alexandria. Energies are from PBE-GGA.

Lattice parameters (Å, degrees): 5.0082 5.0082 5.0082 60.00 60.00 60.00
With the nearest neighbours (Å) after each atom.
Atoms (fractional coordinates):
Pm: 0.0000 0.0000 0.0000  4 Mn 3.07, 4 Cu 3.07
Ho: 0.5000 0.5000 0.5000  4 Mn 3.07, 4 Cu 3.07
Mn: 0.7500 0.7500 0.7500  4 Ho 3.07, 4 Pm 3.07
Cu: 0.2500 0.2500 0.2500  4 Ho 3.07, 4 Pm 3.07

ΔE_f = 6 kJ per mole of atoms
calculated total energy = -22.356 eV per cell
theoretical density = 8009 kg/m³

=====

Entry 11:
Here is a geometry-optimized HoMnCuPt structure from Alexandria. Energies are from PBE-GGA.

Lattice parameters (Å, degrees): 4.6494 4.6494 4.6494 60.00 60.00 60.00
With the nearest neighbours (Å) after each atom.
Atoms (fractional coordinates):
Ho: 0.0000 0.0000 0.0000  4 Pt 2.85, 4 Cu 2.85
Mn: 0.5000 0.5000 0.5000  4 Cu 2.85, 4 Pt 2.85
Cu: 0.2500 0.2500 0.2500  4 Mn 2.85, 4 Ho 2.85
Pt: 0.7500 0.7500 0.7500  4 Mn 2.85, 4 Ho 2.85

ΔE_f = -40 kJ per mole of atoms
calculated total energy = -25.550 eV per cell
theoretical density = 11181 kg/m³

=====

Entry 12:
Here is a geometry-optimized HoMnCuRu structure from Alexandria. Energies are from PBE-GGA.

Lattice parameters (Å, degrees): 4.5646 4.5646 4.5646 60.00 60.00 60.00
With the nearest neighbours (Å) after each atom.
Atoms (fractional coordinates):
Ho: 0.0000 0.0000 0.0000  4 Ru 2.80, 4 Cu 2.80
Mn: 0.5000 0.5000 0.5000  4 Cu 2.80, 4 Ru 2.80
Cu: 0.2500 0.2500 0.2500  4 Mn 2.80, 4 Ho 2.80
Ru: 0.7500 0.7500 0.7500  4 Mn 2.80, 4 Ho 2.80

ΔE_f = 0 kJ per mole of atoms
calculated total energy = -27.115 eV per cell
theoretical density = 9494 kg/m³

=====

Entry 13:
Here is a geometry-optimized HoTmMnCu structure from Alexandria. Energies are from PBE-GGA.

Lattice parameters (Å, degrees): 4.9064 4.9064 4.9064 60.00 60.00 60.00
With the nearest neighbours (Å) after each atom.
Atoms (fractional coordinates):
Ho: 0.0000 0.0000 0.0000  4 Mn 3.00, 4 Cu 3.00
Tm: 0.5000 0.5000 0.5000  4 Mn 3.00, 4 Cu 3.00
Mn: 0.7500 0.7500 0.7500  4 Ho 3.00, 4 Tm 3.00
Cu: 0.2500 0.2500 0.2500  4 Ho 3.00, 4 Tm 3.00

ΔE_f = 1 kJ per mole of atoms
calculated total energy = -22.277 eV per cell
theoretical density = 8994 kg/m³